Below is a relaxed TlIn2I2 crystal, with properties calculated at the PBE level.

POSCAR file:
```
TlIn2I2
1.0
4.354 0.000 0.000
0.000 4.354 0.000
2.177 2.177 9.881
I In Tl
2 2 1
direct
0.397 0.397 0.207
0.603 0.603 0.793
0.750 0.250 0.500
0.250 0.750 0.500
0.000 0.000 0.000
```

Properties
SG	No. 139
E_form (uncorrected)	-343	meV per atom
energy above the lowest structure with this stoichiometry	0.0	kJ/mol of atoms

=====

Below is a relaxed YBF6 crystal, with properties calculated at the PBE level.

POSCAR file:
```
YBF6
1.0
-0.278 0.817 4.980
2.070 -3.298 3.222
4.405 1.411 2.578
F B Y
6 1 1
direct
0.903 0.680 0.213
0.204 0.903 0.213
0.320 0.796 0.787
0.097 0.320 0.787
0.796 0.097 0.787
0.680 0.204 0.213
0.000 0.000 0.000
0.500 0.500 0.500
```

Properties
SG	No. 148
E_form (uncorrected)	-3084	meV per atom

=====

Below is a relaxed Mn2AsPt crystal, with properties calculated at the PBE level.

POSCAR file:
```
Mn2AsPt
1.0
7.268 -0.400 -0.235
6.717 2.805 -0.235
6.717 1.155 2.567
Pt Mn As
1 2 1
direct
0.250 0.250 0.250
0.496 0.496 0.496
0.004 0.004 0.004
0.750 0.750 0.750
```

Properties
formation energy from the elements	-4	meV per atom
SG	No. 166
energy above the lowest structure with this stoichiometry	14.2	kJ/mol of atoms

=====

Below is a relaxed K2LaTl crystal, with properties calculated at the PBE level.

POSCAR file:
```
K2LaTl
1.0
5.669 -0.040 -0.030
4.310 3.683 -0.030
1.085 0.396 9.231
K La Tl
2 1 1
direct
0.026 0.026 0.949
0.248 0.248 0.283
0.476 0.476 0.575
0.750 0.750 0.693
```

Properties
formation energy from the elements	107	meV per atom
SG	No. 8
energy above the lowest structure with this stoichiometry	11.7	kJ/mol of atoms

=====

Below is a relaxed Tb4InSn3 crystal, with properties calculated at the PBE level.

POSCAR file:
```
Tb4InSn3
1.0
4.539 0.000 0.000
0.000 4.312 0.000
0.000 0.000 11.478
In Tb Sn
1 4 3
direct
0.500 0.500 0.089
0.500 0.000 0.636
0.000 0.500 0.864
0.000 0.000 0.135
0.500 0.500 0.364
0.000 0.500 0.592
0.500 0.000 0.912
0.000 0.000 0.408
```

Properties
formation energy from the elements	-682	meV per atom
SG	No. 25

=====

Below is a relaxed Ba4InHg crystal, with properties calculated at the PBE level.

POSCAR file:
```
Ba4InHg
1.0
-0.228 4.165 -0.957
-1.996 -0.952 -3.664
-13.590 0.900 7.175
Ba In Hg
4 1 1
direct
0.000 0.000 0.633
0.500 0.500 0.871
0.000 0.000 0.367
0.500 0.500 0.129
0.500 0.500 0.500
0.000 0.000 0.000
```

Properties
formation energy from the elements	-344	meV per atom
SG	No. 123
energy above the lowest structure with this stoichiometry	0.0	kJ/mol of atoms

=====

D(E_F) (states/eV/atom)
0.175, 0.000, 0.408, 0.878, 0.584, 0.862